Below is a relaxed structure of PW2O, with properties calculated at the GGA+U level.

Total DFT energy (no corrections) ... -6.1026 eV per atom
V ... 17.84 A^3/atom

POSCAR file:
```
PW2O
1.0
5.195 0.000 0.000
0.000 5.195 0.000
2.598 2.598 5.289
W P O
4 2 2
direct
0.573 0.125 0.250 W
0.375 0.427 0.750 W
0.177 0.625 0.250 W
0.875 0.823 0.750 W
0.750 0.250 0.500 P
0.000 0.000 0.000 P
0.250 0.750 0.500 O
0.500 0.500 0.000 O
```